[1]
# Y3Cu (PBE, optimized geometry)
data_Y3Cu
_cell_length_a 6.8698
_cell_length_b 6.8698
_cell_length_c 5.1307
_cell_angle_alpha 90.00
_cell_angle_beta 90.00
_cell_angle_gamma 120.00
_space_group_name_H-M_alt 'P 63/m m c'
_space_group_IT_number 194
_space_group_name_Hall '-P 6c 2c'
loop_
_atom_site_label
_atom_site_type_symbol
_atom_site_fract_x
_atom_site_fract_y
_atom_site_fract_z
Y1 Y 0.1761 0.3522 0.2500
Cu1 Cu 0.3333 0.6667 0.7500
# * E_form: 0.10 eV per atom
# * M_tot: 0.00 μB per formula unit

***

[2]
# LaCe3Ga3 (PBE, optimized geometry)
data_LaCe3Ga3
_cell_length_a 9.6161
_cell_length_b 9.6161
_cell_length_c 4.3296
_cell_angle_alpha 90.00
_cell_angle_beta 90.00
_cell_angle_gamma 120.00
_space_group_name_H-M_alt 'P 63/m'
_space_group_IT_number 176
_space_group_name_Hall '-P 6c'
loop_
_atom_site_label
_atom_site_type_symbol
_atom_site_fract_x
_atom_site_fract_y
_atom_site_fract_z
La1 La 0.3333 0.6667 0.2500
Ce1 Ce 0.0393 0.7908 0.7500
Ga1 Ga 0.0559 0.4635 0.7500
# * E_form: -0.39 eV per atom
# * M_tot: 1.91 μB per formula unit

***

- Which of these has the highest M_tot?
  LaCe3Ga3